[1]
## SrCa4Ir (PBE)

Data for crystalline SrCa4Ir at its relaxed geometry.

Cell and atoms, written as POSCAR:
```
SrCa4Ir
1.0
6.649 0.000 0.479
0.000 7.146 0.000
0.928 0.000 10.331
Sr Ca Ir
2 8 2
direct
0.000 0.000 0.000 Sr
0.500 0.500 0.000 Sr
0.931 0.611 0.260 Ca
0.569 0.111 0.740 Ca
0.377 0.352 0.401 Ca
0.123 0.852 0.599 Ca
0.069 0.389 0.740 Ca
0.431 0.889 0.260 Ca
0.623 0.648 0.599 Ca
0.877 0.148 0.401 Ca
0.500 0.000 0.500 Ir
0.000 0.500 0.500 Ir
```

Computed properties:
The value obtained for the magnetic moment is 0.000 μB per atom. The value obtained for the calculated density is 3.0 g/cm³. The calculation puts the distance to the lowest polymorph of the same formula at 93 meV/atom. For the formation enthalpy at 0 K, the calculation gives -87 meV/atom.



[2]
## SrCa2Ir (PBE)

Data for crystalline SrCa2Ir at its relaxed geometry.

Cell and atoms, written as POSCAR:
```
SrCa2Ir
1.0
-2.483 3.007 1.533
-5.335 -3.104 -2.551
-3.716 -4.632 3.065
Sr Ca Ir
1 2 1
direct
0.500 0.750 0.750 Sr
0.000 0.098 0.098 Ca
0.000 0.402 0.402 Ca
0.500 0.250 0.250 Ir
```

Computed properties:
The value obtained for the magnetic moment is 0.000 μB per atom. The value obtained for the calculated density is 4.0 g/cm³. The calculation puts the distance to the lowest polymorph of the same formula at 143 meV/atom. For the formation enthalpy at 0 K, the calculation gives -128 meV/atom.



[3]
## Sr4CaIr (PBE)

Data for crystalline Sr4CaIr at its relaxed geometry.

Cell and atoms, written as POSCAR:
```
Sr4CaIr
1.0
0.000 4.922 4.922
4.922 0.000 4.922
4.922 4.922 0.000
Sr Ca Ir
4 1 1
direct
0.880 0.374 0.374 Sr
0.374 0.374 0.880 Sr
0.374 0.880 0.374 Sr
0.374 0.374 0.374 Sr
0.750 0.750 0.750 Ca
0.000 0.000 0.000 Ir
```

Computed properties:
The value obtained for the magnetic moment is 0.000 μB per atom. The value obtained for the calculated density is 4.1 g/cm³. The calculation puts the distance to the lowest polymorph of the same formula at 752 meV/atom. For the formation enthalpy at 0 K, the calculation gives 831 meV/atom.